First-principles (PBE-GGA) data for an optimized crystal structure of Ac8CuPd2, as listed in the Alexandria database.

Cell: 6.987 7.597 8.925 Å, 109.38 108.35 96.83°
Fractional coordinates of all 11 atoms:
1 Ac 0.000 0.000 0.000
2 Ac 0.016 0.508 0.280
3 Ac 0.210 0.087 0.518
4 Ac 0.304 0.708 0.756
5 Ac 0.414 0.426 0.044
6 Ac 0.618 0.057 0.234
7 Ac 0.665 0.779 0.526
8 Ac 0.801 0.400 0.758
9 Cu 0.225 0.748 0.133
10 Pd 0.412 0.367 0.392
11 Pd 0.595 0.109 0.877

Results
Calculated density, g/cm3: 8.46
Crystal system: triclinic
Space-group type: P1, No. 1
Calculated formation energy, eV per atom: -0.225